Entry 1:
Computed, not measured: a geometry-optimized K4BaMo structure at the GGA-PBE level of DFT.

Density of states at the Fermi level (states/eV per cell): 5.579
Electronic total energy (eV/cell): -11.535
Formation enthalpy at 0 K (meV per atom): 934.8

Unit cell a=7.7497 b=7.7497 c=7.7497 alpha=60.00 beta=60.00 gamma=60.00
With the nearest neighbours (Å) after each atom.
Atoms (fractional coordinates):
K1 0.1233 0.1233 0.1233  6 K 3.82-3.93
K2 0.1233 0.1233 0.6301  6 K 3.82-3.93
K3 0.1233 0.6301 0.1233  6 K 3.82-3.93
K4 0.6301 0.1233 0.1233  6 K 3.82-3.93
Ba1 0.5000 0.5000 0.5000  12 K 4.55, 4 Mo 4.75
Mo1 0.7500 0.7500 0.7500  12 K 4.54, 4 Ba 4.75

---

Entry 2:
Computed, not measured: a geometry-optimized KBa3Mo structure at the GGA-PBE level of DFT.

Density of states at the Fermi level (states/eV per cell): 2.794
Electronic total energy (eV/cell): -14.437
Formation enthalpy at 0 K (meV per atom): 652.0
Energy relative to the lowest polymorph listed for this composition (meV per atom): 0

Unit cell a=6.2637 b=6.2637 c=6.2637 alpha=90.00 beta=90.00 gamma=90.00
With the nearest neighbours (Å) after each atom.
Atoms (fractional coordinates):
K1 0.0000 0.0000 0.0000  12 Ba 4.43
Ba1 0.0000 0.5000 0.5000  2 Mo 3.13
Ba2 0.5000 0.0000 0.5000  2 Mo 3.13
Ba3 0.5000 0.5000 0.0000  2 Mo 3.13
Mo1 0.5000 0.5000 0.5000  6 Ba 3.13

---

Entry 3:
Computed, not measured: a geometry-optimized K3BaMo structure at the GGA-PBE level of DFT.

Density of states at the Fermi level (states/eV per cell): 5.427
Electronic total energy (eV/cell): -10.521
Formation enthalpy at 0 K (meV per atom): 1105.0
Energy relative to the lowest polymorph listed for this composition (meV per atom): 0

Unit cell a=6.8717 b=6.8717 c=6.8717 alpha=90.00 beta=90.00 gamma=90.00
With the nearest neighbours (Å) after each atom.
Atoms (fractional coordinates):
K1 0.0000 0.0000 0.5000  2 Mo 3.44
K2 0.0000 0.5000 0.0000  2 Mo 3.44
K3 0.5000 0.0000 0.0000  2 Mo 3.44
Ba1 0.5000 0.5000 0.5000  12 K 4.86
Mo1 0.0000 0.0000 0.0000  6 K 3.44

---

Entry 4:
Computed, not measured: a geometry-optimized KBa3Mo structure at the GGA-PBE level of DFT.

Density of states at the Fermi level (states/eV per cell): 14.715
Electronic total energy (eV/cell): -8.449
Formation enthalpy at 0 K (meV per atom): 1849.5
Energy relative to the lowest polymorph listed for this composition (meV per atom): 1198

Unit cell a=6.2133 b=6.2133 c=6.2133 alpha=90.00 beta=90.00 gamma=90.00
With the nearest neighbours (Å) after each atom.
Atoms (fractional coordinates):
K1 0.0000 0.0000 0.0000  6 Ba 3.11
Ba1 0.0000 0.0000 0.5000  2 K 3.11
Ba2 0.0000 0.5000 0.0000  2 K 3.11
Ba3 0.5000 0.0000 0.0000  2 K 3.11
Mo1 0.5000 0.5000 0.5000  12 Ba 4.39

---

Entry 5:
Computed, not measured: a geometry-optimized KBaMo structure at the GGA-PBE level of DFT.

Density of states at the Fermi level (states/eV per cell): 3.581
Electronic total energy (eV/cell): -9.435
Formation enthalpy at 0 K (meV per atom): 1472.2
Energy relative to the lowest polymorph listed for this composition (meV per atom): 177

Unit cell a=5.9796 b=5.9796 c=5.9796 alpha=60.00 beta=60.00 gamma=60.00
With the nearest neighbours (Å) after each atom.
Atoms (fractional coordinates):
K1 0.0000 0.0000 0.0000  4 Mo 3.66
Ba1 0.5000 0.5000 0.5000  4 Mo 3.66
Mo1 0.2500 0.2500 0.2500  4 Ba 3.66, 4 K 3.66

---

Entry 6:
Computed, not measured: a geometry-optimized K3BaMo structure at the GGA-PBE level of DFT.

Density of states at the Fermi level (states/eV per cell): 4.026
Electronic total energy (eV/cell): -7.906
Formation enthalpy at 0 K (meV per atom): 1628.2
Energy relative to the lowest polymorph listed for this composition (meV per atom): 523

Unit cell a=7.9164 b=7.9164 c=7.9164 alpha=90.00 beta=90.00 gamma=90.00
With the nearest neighbours (Å) after each atom.
Atoms (fractional coordinates):
K1 0.0000 0.0000 0.5000  2 Ba 3.96
K2 0.0000 0.5000 0.0000  2 Ba 3.96
K3 0.5000 0.0000 0.0000  2 Ba 3.96
Ba1 0.0000 0.0000 0.0000  6 K 3.96
Mo1 0.5000 0.5000 0.5000  12 K 5.60

---

- What is the density of states at the Fermi level in the first record?
  5.579 states/eV per cell

---

- Among the records above, which one has the highest density of states at the Fermi level?
  number 4

---

- What is the formation enthalpy at 0 K in the sixth record?
  1628.2 meV per atom